(1)
Below is crystalline NaEuGaPb at its relaxed geometry, with properties calculated at the PBE level.

Cell and atoms, written as extended XYZ:
```
4
Lattice="-1.889 -4.859 -1.354 -2.015 -3.257 3.788 -5.295 -0.976 0.175" Properties=species:S:1:pos:R:3 pbc="T T T"
Pb 0.000 0.000 0.000
Na -6.899 -6.819 1.957
Eu -2.300 -2.273 0.652
Ga -4.599 -4.546 1.304
```

Values from the calculation:
Energy relative to the elements ... -0.300 eV/atom
Magnetization ... 7.0 Bohr magnetons per cell
E_tot ... -4.882 eV per atom

=====

(2)
Below is crystalline NaPrEuGa at its relaxed geometry, with properties calculated at the PBE level.

Cell and atoms, written as extended XYZ:
```
4
Lattice="-1.481 0.748 -5.227 1.432 -3.677 -3.809 -3.810 -3.233 -2.260" Properties=species:S:1:pos:R:3 pbc="T T T"
Na -2.895 -4.621 -8.472
Ga -0.965 -1.540 -2.824
Eu 0.000 0.000 0.000
Pr -1.930 -3.080 -5.648
```

Values from the calculation:
Energy relative to the elements ... -0.126 eV/atom
Magnetization ... 7.4 Bohr magnetons per cell
E_tot ... -4.976 eV per atom

=====

(3)
Below is crystalline NaEuGaSn at its relaxed geometry, with properties calculated at the PBE level.

Cell and atoms, written as extended XYZ:
```
4
Lattice="-1.274 -5.149 -0.470 0.650 -3.292 4.135 -4.252 -1.935 2.557" Properties=species:S:1:pos:R:3 pbc="T T T"
Ga -3.657 -7.782 4.667
Sn -1.219 -2.594 1.556
Na -2.438 -5.188 3.111
Eu 0.000 0.000 0.000
```

Values from the calculation:
Energy relative to the elements ... -0.347 eV/atom
Magnetization ... 7.0 Bohr magnetons per cell
E_tot ... -5.002 eV per atom

=====

(4)
Below is crystalline NaSrEuGa at its relaxed geometry, with properties calculated at the PBE level.

Cell and atoms, written as extended XYZ:
```
4
Lattice="-3.977 2.992 2.746 -5.330 -1.951 0.288 -2.071 -1.891 4.943" Properties=species:S:1:pos:R:3 pbc="T T T"
Eu 0.000 0.000 0.000
Ga -2.844 -0.213 1.994
Na -8.533 -0.638 5.983
Sr -5.689 -0.425 3.989
```

Values from the calculation:
Energy relative to the elements ... -0.136 eV/atom
Magnetization ... 7.1 Bohr magnetons per cell
E_tot ... -4.212 eV per atom

=====

(5)
Below is crystalline NaTbEuGa at its relaxed geometry, with properties calculated at the PBE level.

Cell and atoms, written as extended XYZ:
```
4
Lattice="-1.855 -1.535 -4.822 -0.421 -5.241 -1.181 -4.863 -2.287 -0.413" Properties=species:S:1:pos:R:3 pbc="T T T"
Tb -3.569 -4.532 -3.208
Na -5.354 -6.797 -4.812
Eu 0.000 0.000 0.000
Ga -1.785 -2.266 -1.604
```

Values from the calculation:
Energy relative to the elements ... -0.097 eV/atom
Magnetization ... 7.3 Bohr magnetons per cell
E_tot ... -4.909 eV per atom

=====

(6)
Below is crystalline EuNbGaSnO6 at its relaxed geometry, with properties calculated at the PBE level.

Cell and atoms, written as extended XYZ:
```
10
Lattice="-2.617 2.955 4.043 -4.679 2.925 -1.218 -5.006 -1.728 1.972" Properties=species:S:1:pos:R:3 pbc="T T T"
Ga 0.000 0.000 0.000
O -5.411 2.503 0.580
O -5.575 0.162 2.184
O -6.727 3.989 2.614
O -6.891 1.649 4.218
O -7.928 1.633 1.572
O -4.373 2.518 3.226
Sn -3.075 1.038 1.199
Nb -6.151 2.076 2.399
Eu -9.226 3.114 3.598
```

Values from the calculation:
Magnetization ... 7.0 Bohr magnetons per cell
Uncorrected formation energy ... -2071 kJ/mol of formula units
E_tot ... -7.858 eV per atom

=====

(7)
Below is crystalline SrEuNbGaO6 at its relaxed geometry, with properties calculated at the PBE level.

Cell and atoms, written as extended XYZ:
```
10
Lattice="0.000 3.995 3.995 3.995 0.000 3.995 3.995 3.995 0.000" Properties=species:S:1:pos:R:3 pbc="T T T"
O 3.995 3.995 6.003
O 6.003 3.995 3.995
O 3.995 1.987 3.995
O 1.987 3.995 3.995
O 3.995 6.003 3.995
O 3.995 3.995 1.987
Ga 0.000 0.000 0.000
Nb 3.995 3.995 3.995
Eu 1.997 1.997 1.997
Sr 5.992 5.992 5.992
```

Values from the calculation:
Magnetization ... 7.0 Bohr magnetons per cell
Uncorrected formation energy ... -2527 kJ/mol of formula units
E_tot ... -8.099 eV per atom

=====

(8)
Below is crystalline NdEuGa at its relaxed geometry, with properties calculated at the PBE level.

Cell and atoms, written as extended XYZ:
```
3
Lattice="3.762 0.000 0.000 0.000 3.762 0.000 -1.881 -1.881 6.470" Properties=species:S:1:pos:R:3 pbc="T T T"
Ga 0.000 0.000 3.735
Nd 1.881 1.881 5.396
Eu 1.881 1.881 1.867
```

Values from the calculation:
Energy above the lowest structure with this stoichiometry ... 0.000 eV/atom
Energy relative to the elements ... -0.317 eV/atom
Magnetization ... 7.3 Bohr magnetons per cell
E_tot ... -6.340 eV per atom

=====

(9)
Below is crystalline Nd2EuGa at its relaxed geometry, with properties calculated at the PBE level.

Cell and atoms, written as extended XYZ:
```
4
Lattice="3.735 0.000 0.000 0.000 3.735 0.000 0.000 0.000 9.114" Properties=species:S:1:pos:R:3 pbc="T T T"
Nd 0.000 0.000 7.346
Nd 0.000 0.000 1.768
Eu 1.867 1.867 4.557
Ga 1.867 1.867 0.000
```

Values from the calculation:
Energy above the lowest structure with this stoichiometry ... 0.000 eV/atom
Energy relative to the elements ... -0.227 eV/atom
Magnetization ... 8.0 Bohr magnetons per cell
E_tot ... -5.937 eV per atom

=====

(10)
Below is crystalline Nd2EuGa at its relaxed geometry, with properties calculated at the PBE level.

Cell and atoms, written as extended XYZ:
```
4
Lattice="-0.524 4.602 -1.105 -2.603 -1.263 -4.023 -4.181 0.162 2.655" Properties=species:S:1:pos:R:3 pbc="T T T"
Nd -1.301 -0.631 -2.012
Nd -2.091 0.081 1.327
Ga -3.654 1.750 -1.237
Eu -0.262 2.301 -0.553
```

Values from the calculation:
Energy above the lowest structure with this stoichiometry ... 0.042 eV/atom
Energy relative to the elements ... -0.186 eV/atom
Magnetization ... 7.2 Bohr magnetons per cell
E_tot ... -5.895 eV per atom

=====

(11)
Below is crystalline NdEuGa at its relaxed geometry, with properties calculated at the PBE level.

Cell and atoms, written as extended XYZ:
```
3
Lattice="-0.452 -1.626 4.907 3.890 -2.604 2.239 2.806 2.242 3.745" Properties=species:S:1:pos:R:3 pbc="T T T"
Ga 1.561 -0.497 2.723
Eu 3.122 -0.994 5.445
Nd 0.000 0.000 0.000
```

Values from the calculation:
Energy above the lowest structure with this stoichiometry ... 0.119 eV/atom
Energy relative to the elements ... -0.199 eV/atom
Magnetization ... 7.3 Bohr magnetons per cell
E_tot ... -6.222 eV per atom

=====

(12)
Below is crystalline NdEuGa2 at its relaxed geometry, with properties calculated at the PBE level.

Cell and atoms, written as extended XYZ:
```
4
Lattice="-3.803 -0.162 -0.183 -1.715 -3.167 -1.248 -2.111 -4.313 8.027" Properties=species:S:1:pos:R:3 pbc="T T T"
Eu 0.000 0.000 0.000
Nd -3.814 -3.821 3.298
Ga -1.908 -1.925 1.686
Ga -5.720 -5.717 4.910
```

Values from the calculation:
Energy relative to the elements ... -0.292 eV/atom
Magnetization ... 7.3 Bohr magnetons per cell
E_tot ... -5.566 eV per atom

=====

(13)
Below is crystalline NdEuGa2 at its relaxed geometry, with properties calculated at the PBE level.

Cell and atoms, written as extended XYZ:
```
4
Lattice="3.727 0.000 0.000 0.000 3.727 0.000 0.000 0.000 7.465" Properties=species:S:1:pos:R:3 pbc="T T T"
Eu 1.864 1.864 0.000
Ga 0.000 0.000 1.926
Ga 0.000 0.000 5.538
Nd 1.864 1.864 3.732
```

Values from the calculation:
Energy relative to the elements ... -0.502 eV/atom
Magnetization ... 7.2 Bohr magnetons per cell
E_tot ... -5.776 eV per atom

=====

(14)
Below is crystalline NdEuGa at its relaxed geometry, with properties calculated at the PBE level.

Cell and atoms, written as extended XYZ:
```
3
Lattice="-0.795 -3.717 -0.279 4.918 -1.122 0.934 -3.319 0.418 3.890" Properties=species:S:1:pos:R:3 pbc="T T T"
Eu -0.770 -3.601 -0.270
Nd -0.883 -1.543 2.796
Ga 1.663 -2.993 1.740
```

Values from the calculation:
Energy above the lowest structure with this stoichiometry ... 0.091 eV/atom
Energy relative to the elements ... -0.227 eV/atom
Magnetization ... 7.0 Bohr magnetons per cell
E_tot ... -6.250 eV per atom

=====

(15)
Below is crystalline Nd2EuGa at its relaxed geometry, with properties calculated at the PBE level.

Cell and atoms, written as extended XYZ:
```
4
Lattice="-1.090 1.905 5.040 3.660 -0.676 4.045 2.763 4.330 1.959" Properties=species:S:1:pos:R:3 pbc="T T T"
Eu 0.000 0.000 0.000
Ga 2.666 2.779 5.522
Nd 1.333 1.390 2.761
Nd 4.000 4.169 8.282
```

Values from the calculation:
Energy above the lowest structure with this stoichiometry ... 0.122 eV/atom
Energy relative to the elements ... -0.105 eV/atom
Magnetization ... 7.5 Bohr magnetons per cell
E_tot ... -5.815 eV per atom